## BiSbTe2Rh (PBE-GGA)

Data for an optimized crystal structure of BiSbTe2Rh.

The structure belongs to space group P4/mmm (No. 123); the cell edges are 5.330, 5.330 and 5.050 Å and the angles 90.00°, 90.00° and 90.00°. The distinct sites, in fractional coordinates, are Bi at (0.000, 0.000, 0.000), Sb at (0.500, 0.500, 0.000), Te at (0.000, 0.500, 0.500) and Rh at (0.500, 0.500, 0.500).

The value obtained for the final energy is -4.1125 eV per atom. For the total magnetization, the calculation gives 0.000 μB/cell. The uncorrected formation energy comes out at 0.215 eV/atom.


## PmNdGd (PBE-GGA)

Data for an optimized crystal structure of PmNdGd.

The structure belongs to space group P3m1 (No. 156); the cell edges are 3.6458, 3.6458 and 8.8874 Å and the angles 90.00°, 90.00° and 120.00°. The distinct sites, in fractional coordinates, are Pm at (0.0000, 0.0000, 0.0000), Nd at (0.3333, 0.6667, 0.6634) and Gd at (0.6667, 0.3333, 0.3306).

The value obtained for the final energy is -7.8505 eV per atom. For the formation energy, the calculation gives 16 meV per atom. For the total magnetization, the calculation gives 7.341 μB/cell.


## V4Cr5 (PBE-GGA)

Data for an optimized crystal structure of V4Cr5.

The structure belongs to space group I4/mmm (No. 139); the cell edges are 8.740, 8.740 and 2.899 Å and the angles 90.00°, 90.00° and 90.00°. The distinct sites, in fractional coordinates, are V at (0.000, 0.326, 0.000), Cr at (0.000, 0.000, 0.000) and Cr at (0.166, 0.166, 0.500).

The value obtained for the final energy is -9.4656 eV per atom. For the formation energy, the calculation gives -67 meV per atom. For the total magnetization, the calculation gives 0.000 μB/cell.